Version i
NdSmHo4, relaxed, DFT GGA-PBE; V = 198.8 Å³/f.u.; N(E_F) = 15.52 states/eV per cell; calculated density = 8.0 g cm⁻³
1.0
-2.116 -0.859 5.888
3.378 -7.955 -3.233
6.531 1.717 2.598
Ho Nd Sm
8 2 2
direct
0.141 0.790 0.997
0.859 0.210 0.003
0.236 0.498 0.750
0.685 0.864 0.250
0.141 0.790 0.503
0.764 0.502 0.250
0.315 0.136 0.750
0.859 0.210 0.497
0.325 0.129 0.250
0.675 0.871 0.750
0.267 0.502 0.250
0.733 0.498 0.750

---

Version ii
NdSmHo4, relaxed, DFT GGA-PBE; V = 203.9 Å³/f.u.; N(E_F) = 15.23 states/eV per cell; calculated density = 7.8 g cm⁻³
1.0
6.607 0.000 0.000
3.304 5.722 0.000
3.304 1.907 5.395
Nd Ho Sm
1 4 1
direct
0.250 0.250 0.250
0.625 0.124 0.625
0.124 0.625 0.625
0.625 0.625 0.625
0.625 0.625 0.124
0.000 0.000 0.000

---

Q: Which of them is the most stable? A: version i.

---

Version i
Nd7SmHo3, relaxed, DFT GGA-PBE; V = 395.0 Å³/f.u.; N(E_F) = 33.69 states/eV per cell; calculated density = 7.0 g cm⁻³
1.0
9.801 -2.423 2.017
-5.653 8.364 -2.018
2.469 -1.723 12.214
Nd Ho Sm
14 6 2
direct
0.084 0.419 0.528
0.154 0.833 0.725
0.916 0.580 0.970
0.846 0.167 0.275
0.084 0.420 0.030
0.581 0.916 0.028
0.419 0.084 0.972
0.732 0.732 0.250
0.833 0.154 0.775
0.420 0.084 0.471
0.916 0.581 0.472
0.268 0.268 0.750
0.167 0.846 0.225
0.580 0.916 0.529
0.328 0.666 0.776
0.000 0.000 0.000
0.000 0.000 0.500
0.666 0.328 0.724
0.672 0.334 0.224
0.334 0.672 0.276
0.500 0.500 0.000
0.500 0.500 0.500

---

Version ii
Nd7SmHo3, relaxed, DFT GGA-PBE; V = 385.4 Å³/f.u.; N(E_F) = 15.41 states/eV per cell; calculated density = 7.1 g cm⁻³
1.0
5.923 -0.179 -0.230
-2.682 8.089 1.073
-2.682 -0.920 8.108
Nd Ho Sm
7 3 1
direct
0.305 0.597 0.014
0.695 0.986 0.403
0.791 0.791 0.791
0.305 0.014 0.597
0.209 0.209 0.209
0.000 0.500 0.500
0.695 0.403 0.986
0.500 0.000 0.000
0.000 0.797 0.203
0.000 0.203 0.797
0.500 0.500 0.500

---

Q: Which of them is the most stable? A: version i.